1.
# Li11Tl9Cd4 PBE-GGA optimized geometry
# **Energy**: -2.122 eV/atom
# **Spin magnetization**: 0.00 μB per atom
data_Li11Tl9Cd4
_cell_length_a 15.139
_cell_length_b 20.093
_cell_length_c 3.358
_cell_angle_alpha 90.00
_cell_angle_beta 90.00
_cell_angle_gamma 90.00
_symmetry_space_group_name_H-M 'C m m m'
_symmetry_Int_Tables_number 65
_symmetry_space_group_name_Hall '-C 2 2'
loop_
_atom_site_label
_atom_site_fract_x
_atom_site_fract_y
_atom_site_fract_z
_atom_site_occupancy
Li1 0.000 0.000 0.000 1
Li2 0.000 0.182 0.000 1
Li3 0.000 0.367 0.000 1
Li4 0.219 0.000 0.000 1
Li5 0.231 0.176 0.000 1
Tl1 0.000 0.500 0.500 1
Tl2 0.114 0.091 0.500 1
Tl3 0.117 0.269 0.500 1
Cd1 0.168 0.419 0.500 1

2.
# DyNiSbRh PBE-GGA optimized geometry
# **Raw formation energy**: -586 meV/atom
# **Energy**: -6.051 eV/atom
# **Spin magnetization**: 0.00 μB per atom
data_DyNiSbRh
_cell_length_a 6.589
_cell_length_b 6.589
_cell_length_c 6.589
_cell_angle_alpha 90.00
_cell_angle_beta 90.00
_cell_angle_gamma 90.00
_symmetry_space_group_name_H-M 'F -4 3 m'
_symmetry_Int_Tables_number 216
_symmetry_space_group_name_Hall 'F -4 2 3'
loop_
_atom_site_label
_atom_site_fract_x
_atom_site_fract_y
_atom_site_fract_z
_atom_site_occupancy
Dy1 0.000 0.000 0.000 1
Ni1 0.250 0.250 0.250 1
Sb1 0.000 0.000 0.500 1
Rh1 0.250 0.250 0.750 1

3.
# BeTcPb4 PBE-GGA optimized geometry
# **Energy**: -3.583 eV/atom
# **Spin magnetization**: 0.57 μB per atom
data_BeTcPb4
_cell_length_a 8.903
_cell_length_b 8.903
_cell_length_c 8.903
_cell_angle_alpha 90.00
_cell_angle_beta 90.00
_cell_angle_gamma 90.00
_symmetry_space_group_name_H-M 'F -4 3 m'
_symmetry_Int_Tables_number 216
_symmetry_space_group_name_Hall 'F -4 2 3'
loop_
_atom_site_label
_atom_site_fract_x
_atom_site_fract_y
_atom_site_fract_z
_atom_site_occupancy
Be1 0.000 0.000 0.000 1
Tc1 0.250 0.250 0.250 1
Pb1 0.125 0.125 0.625 1

4.
# ZnAgPb2 PBE-GGA optimized geometry
# **Energy**: -2.644 eV/atom
# **Spin magnetization**: 0.00 μB per atom
data_ZnAgPb2
_cell_length_a 8.001
_cell_length_b 8.001
_cell_length_c 6.470
_cell_angle_alpha 90.00
_cell_angle_beta 90.00
_cell_angle_gamma 90.00
_symmetry_space_group_name_H-M 'I -4 2 d'
_symmetry_Int_Tables_number 122
_symmetry_space_group_name_Hall 'I -4 2bw'
loop_
_atom_site_label
_atom_site_fract_x
_atom_site_fract_y
_atom_site_fract_z
_atom_site_occupancy
Zn1 0.000 0.000 0.000 1
Ag1 0.000 0.000 0.500 1
Pb1 0.244 0.250 0.125 1

5.
# CdTcPt6 PBE-GGA optimized geometry
# **Energy**: -6.098 eV/atom
# **Spin magnetization**: 0.00 μB per atom
data_CdTcPt6
_cell_length_a 3.982
_cell_length_b 3.982
_cell_length_c 8.026
_cell_angle_alpha 90.00
_cell_angle_beta 90.00
_cell_angle_gamma 90.00
_symmetry_space_group_name_H-M 'P 4/m m m'
_symmetry_Int_Tables_number 123
_symmetry_space_group_name_Hall '-P 4 2'
loop_
_atom_site_label
_atom_site_fract_x
_atom_site_fract_y
_atom_site_fract_z
_atom_site_occupancy
Cd1 0.000 0.000 0.000 1
Tc1 0.000 0.000 0.500 1
Pt1 0.000 0.500 0.263 1
Pt2 0.500 0.500 0.000 1
Pt3 0.500 0.500 0.500 1

6.
# NaFeSb2 PBE-GGA optimized geometry
# **Raw formation energy**: 270 meV/atom
# **Energy**: -4.237 eV/atom
# **Spin magnetization**: 0.00 μB per atom
# **Polymorph energy (0 for the lowest one)**: 320 meV/atom
data_NaFeSb2
_cell_length_a 6.701
_cell_length_b 6.701
_cell_length_c 11.380
_cell_angle_alpha 90.00
_cell_angle_beta 90.00
_cell_angle_gamma 90.00
_symmetry_space_group_name_H-M 'I -4 2 d'
_symmetry_Int_Tables_number 122
_symmetry_space_group_name_Hall 'I -4 2bw'
loop_
_atom_site_label
_atom_site_fract_x
_atom_site_fract_y
_atom_site_fract_z
_atom_site_occupancy
Na1 0.000 0.000 0.000 1
Fe1 0.000 0.000 0.500 1
Sb1 0.142 0.250 0.625 1

7.
# ZrAlV PBE-GGA optimized geometry
# **Energy**: -7.296 eV/atom
# **Spin magnetization**: 0.00 μB per atom
# **Polymorph energy (0 for the lowest one)**: 130 meV/atom
data_ZrAlV
_cell_length_a 3.490
_cell_length_b 4.431
_cell_length_c 13.505
_cell_angle_alpha 90.00
_cell_angle_beta 90.00
_cell_angle_gamma 90.00
_symmetry_space_group_name_H-M 'A m m 2'
_symmetry_Int_Tables_number 38
loop_
_symmetry_equiv_pos_as_xyz
'x,y,z'
'-x,-y,z'
'-x,y,z'
'x,-y,z'
'x,y+1/2,z+1/2'
'-x,-y+1/2,z+1/2'
'-x,y+1/2,z+1/2'
'x,-y+1/2,z+1/2'
loop_
_atom_site_label
_atom_site_fract_x
_atom_site_fract_y
_atom_site_fract_z
_atom_site_occupancy
Zr1 0.000 0.000 0.000 1
Zr2 0.000 0.000 0.333 1
Al1 0.500 0.000 0.170 1
Al2 0.500 0.000 0.515 1
V1 0.000 0.000 0.676 1
V2 0.500 0.000 0.811 1

8.
# Hf3BeOs PBE-GGA optimized geometry
# **Energy**: -8.448 eV/atom
# **Spin magnetization**: 0.00 μB per atom
# **Polymorph energy (0 for the lowest one)**: 0 meV/atom
data_Hf3BeOs
_cell_length_a 4.539
_cell_length_b 4.539
_cell_length_c 4.539
_cell_angle_alpha 90.00
_cell_angle_beta 90.00
_cell_angle_gamma 90.00
_symmetry_space_group_name_H-M 'P m -3 m'
_symmetry_Int_Tables_number 221
_symmetry_space_group_name_Hall '-P 4 2 3'
loop_
_atom_site_label
_atom_site_fract_x
_atom_site_fract_y
_atom_site_fract_z
_atom_site_occupancy
Hf1 0.000 0.000 0.500 1
Be1 0.000 0.000 0.000 1
Os1 0.500 0.500 0.500 1